1.
Material: K4ZnAs2
Method: DFT, PBE-GGA
State: relaxed

For the formation energy, the calculation gives -463 meV/atom. Its space group is R-3m, No. 166.

Cell lengths 9.6412, 9.6412, 9.6412 Å; angles 34.91, 34.91, 34.91 degrees
With the nearest neighbours (Å) after each atom.
Element x y z (fractional)
K 0.7912 0.7912 0.7912  4 As 3.34-3.50
K 0.2088 0.2088 0.2088  4 As 3.34-3.50
K 0.6152 0.6152 0.6152  3 As 3.47, 3 Zn 3.62
K 0.3848 0.3848 0.3848  3 As 3.47, 3 Zn 3.62
As 0.9144 0.9144 0.9144  1 Zn 2.32
As 0.0856 0.0856 0.0856  1 Zn 2.32
Zn 0.0000 0.0000 0.0000  2 As 2.32


2.
Material: K4Zn5As6
Method: DFT, PBE-GGA
State: relaxed

For the formation energy, the calculation gives -320 meV/atom. Its space group is Cmc2_1, No. 36.

Cell lengths 4.1888, 11.0517, 17.7771 Å; angles 90.00, 90.00, 100.92 degrees
With the nearest neighbours (Å) after each atom.
Element x y z (fractional)
K 0.0258 0.0515 0.4815  6 As 3.35-3.53
K 0.1551 0.3102 0.9487  6 As 3.33-3.53
K 0.8449 0.6898 0.4487  6 As 3.33-3.53
K 0.8086 0.6172 0.8326  6 As 3.36-3.59, 2 Zn 3.55
K 0.9894 0.9787 0.2139  7 As 3.25-3.52, 5 Zn 3.31-3.48
K 0.9742 0.9485 0.9815  6 As 3.35-3.53
K 0.1914 0.3828 0.3326  6 As 3.36-3.59, 2 Zn 3.55
K 0.0106 0.0213 0.7139  7 As 3.25-3.52, 5 Zn 3.31-3.48
Zn 0.7207 0.4413 0.1496  4 As 2.55-2.73, 2 Zn 2.66-2.77
Zn 0.3923 0.7847 0.7082  3 As 2.51-2.52, 1 Zn 2.66
Zn 0.2793 0.5587 0.6496  4 As 2.55-2.73, 2 Zn 2.66-2.77
Zn 0.6363 0.2725 0.7459  4 As 2.56-2.67
Zn 0.1526 0.3053 0.6304  4 As 2.56-2.77, 3 Zn 2.77-2.80
Zn 0.3637 0.7275 0.2459  4 As 2.56-2.67
Zn 0.8474 0.6947 0.1304  4 As 2.56-2.77, 3 Zn 2.77-2.80
Zn 0.6077 0.2153 0.2082  3 As 2.51-2.52, 1 Zn 2.66
Zn 0.6810 0.3619 0.5316  3 As 2.46-2.48
Zn 0.3190 0.6381 0.0316  3 As 2.46-2.48
As 0.5571 0.1141 0.3359  1 As 2.36, 1 Zn 2.52
As 0.4141 0.8282 0.1087  4 Zn 2.48-2.67
As 0.5859 0.1718 0.6087  4 Zn 2.48-2.67
As 0.1402 0.2803 0.1407  4 Zn 2.51-2.73
As 0.7614 0.5229 0.0150  3 Zn 2.46-2.55
As 0.8598 0.7197 0.6407  4 Zn 2.51-2.73
As 0.4429 0.8859 0.8359  1 As 2.36, 1 Zn 2.52
As 0.7974 0.5948 0.2608  4 Zn 2.56-2.58
As 0.5509 0.1018 0.8520  1 As 2.36
As 0.2026 0.4052 0.7608  4 Zn 2.56-2.58
As 0.4491 0.8982 0.3520  1 As 2.36
As 0.2386 0.4771 0.5150  3 Zn 2.46-2.55


3.
Material: KZn2As
Method: DFT, PBE-GGA
State: relaxed

For the formation energy, the calculation gives 239 meV/atom. Its space group is P4/mmm, No. 123.

Cell lengths 4.4470, 4.4926, 4.4926 Å; angles 90.00, 90.00, 90.00 degrees
With the nearest neighbours (Å) after each atom.
Element x y z (fractional)
As 0.5000 0.5000 0.0000  8 Zn 3.16, 4 K 3.18
Zn 0.0000 0.0000 0.0000  4 As 3.16, 4 K 3.16, 4 Zn 3.18
Zn 0.0000 0.5000 0.5000  4 As 3.16, 4 K 3.16, 4 Zn 3.18
K 0.5000 0.0000 0.5000  8 Zn 3.16, 4 As 3.18


4.
Material: KZrAs
Method: DFT, PBE-GGA
State: relaxed

For the formation energy, the calculation gives -315 meV/atom. Its space group is I4mm, No. 107.

Cell lengths 7.1734, 7.1733, 3.7736 Å; angles 74.75, 74.75, 30.50 degrees
With the nearest neighbours (Å) after each atom.
Element x y z (fractional)
K 0.3313 0.3313 0.6687  1 As 3.51, 1 Zr 3.60, 4 K 3.77
As 0.0674 0.0674 0.9326  4 Zr 2.71
Zr 0.6013 0.6013 0.3987  4 As 2.71